(1)
Below is a relaxed PrLu2Mo crystal, with properties calculated at the PBE level.

## Properties
The value obtained for the formation energy from the elements is 0.40 eV per atom. The density of states at the Fermi level is 21.4 states/eV per cell. Its calculated total energy is -5.759 eV per atom. As for the volume: 27.691 Å³/atom.

Structure (CIF):
```
data_PrLu2Mo
_chemical_formula_sum 'Pr3 Lu6 Mo3'
_symmetry_space_group_name_H-M 'R -3 m'
_symmetry_Int_Tables_number 166
_symmetry_space_group_name_Hall '-R 3 2"'
_cell_length_a 3.4000
_cell_length_b 3.4000
_cell_length_c 33.1910
_cell_angle_alpha 90.00
_cell_angle_beta 90.00
_cell_angle_gamma 120.00
loop_
_atom_site_label
_atom_site_fract_x
_atom_site_fract_y
_atom_site_fract_z
Pr1 0.0000 0.0000 0.0000
Lu1 0.0000 0.0000 0.1042
Mo1 0.0000 0.0000 0.5000
```

***

(2)
Below is a relaxed LuPu2Mo crystal, with properties calculated at the PBE level.

## Properties
The value obtained for the formation energy from the elements is 0.35 eV per atom. The density of states at the Fermi level is 39.6 states/eV per cell. Its calculated total energy is -10.651 eV per atom. As for the volume: 23.572 Å³/atom.

Structure (CIF):
```
data_LuPu2Mo
_chemical_formula_sum 'Lu3 Pu6 Mo3'
_symmetry_space_group_name_H-M 'R -3 m'
_symmetry_Int_Tables_number 166
_symmetry_space_group_name_Hall '-R 3 2"'
_cell_length_a 3.2888
_cell_length_b 3.2888
_cell_length_c 30.1976
_cell_angle_alpha 90.00
_cell_angle_beta 90.00
_cell_angle_gamma 120.00
loop_
_atom_site_label
_atom_site_fract_x
_atom_site_fract_y
_atom_site_fract_z
Lu1 0.0000 0.0000 0.0000
Pu1 0.0000 0.0000 0.2391
Mo1 0.0000 0.0000 0.5000
```

***

(3)
Below is a relaxed LuPuMoRu crystal, with properties calculated at the PBE level.

## Properties
The value obtained for the formation energy from the elements is -0.01 eV per atom. The density of states at the Fermi level is 19.7 states/eV per cell. Its calculated total energy is -9.750 eV per atom. As for the volume: 19.162 Å³/atom.

Structure (CIF):
```
data_LuPuMoRu
_chemical_formula_sum 'Lu4 Pu4 Mo4 Ru4'
_symmetry_space_group_name_H-M 'F -4 3 m'
_symmetry_Int_Tables_number 216
_symmetry_space_group_name_Hall 'F -4 2 3'
_cell_length_a 6.743
_cell_length_b 6.743
_cell_length_c 6.743
_cell_angle_alpha 90.00
_cell_angle_beta 90.00
_cell_angle_gamma 90.00
loop_
_atom_site_label
_atom_site_fract_x
_atom_site_fract_y
_atom_site_fract_z
Lu1 0.000 0.000 0.000
Pu1 0.000 0.000 0.500
Mo1 0.250 0.250 0.750
Ru1 0.250 0.250 0.250
```

***

(4)
Below is a relaxed LuPuTcMo crystal, with properties calculated at the PBE level.

## Properties
The value obtained for the formation energy from the elements is 0.15 eV per atom. The density of states at the Fermi level is 28.6 states/eV per cell. Its calculated total energy is -9.862 eV per atom. As for the volume: 19.146 Å³/atom.

Structure (CIF):
```
data_LuPuTcMo
_chemical_formula_sum 'Lu4 Pu4 Tc4 Mo4'
_symmetry_space_group_name_H-M 'F -4 3 m'
_symmetry_Int_Tables_number 216
_symmetry_space_group_name_Hall 'F -4 2 3'
_cell_length_a 6.741
_cell_length_b 6.741
_cell_length_c 6.741
_cell_angle_alpha 90.00
_cell_angle_beta 90.00
_cell_angle_gamma 90.00
loop_
_atom_site_label
_atom_site_fract_x
_atom_site_fract_y
_atom_site_fract_z
Lu1 0.000 0.000 0.000
Pu1 0.000 0.000 0.500
Tc1 0.250 0.250 0.750
Mo1 0.250 0.250 0.250
```

***

(5)
Below is a relaxed LuReMo crystal, with properties calculated at the PBE level.

## Properties
The value obtained for the formation energy from the elements is 0.00 eV per atom. The density of states at the Fermi level is 3.8 states/eV per cell. Its calculated total energy is -9.270 eV per atom. As for the volume: 18.207 Å³/atom.

Structure (CIF):
```
data_LuReMo
_chemical_formula_sum 'Lu2 Re2 Mo2'
_symmetry_space_group_name_H-M 'I 4 m m'
_symmetry_Int_Tables_number 107
_symmetry_space_group_name_Hall 'I 4 -2'
_cell_length_a 3.211
_cell_length_b 3.211
_cell_length_c 10.597
_cell_angle_alpha 90.00
_cell_angle_beta 90.00
_cell_angle_gamma 90.00
loop_
_atom_site_label
_atom_site_fract_x
_atom_site_fract_y
_atom_site_fract_z
Lu1 0.000 0.000 0.000
Re1 0.000 0.000 0.683
Mo1 0.000 0.000 0.312
```

***

(6)
Below is a relaxed LuRe4Mo crystal, with properties calculated at the PBE level.

## Properties
The value obtained for the formation energy from the elements is 0.04 eV per atom. The density of states at the Fermi level is 29.0 states/eV per cell. Its calculated total energy is -10.821 eV per atom. As for the volume: 17.072 Å³/atom.

Structure (CIF):
```
data_LuRe4Mo
_chemical_formula_sum 'Lu4 Re16 Mo4'
_symmetry_space_group_name_H-M 'F -4 3 m'
_symmetry_Int_Tables_number 216
_symmetry_space_group_name_Hall 'F -4 2 3'
_cell_length_a 7.427
_cell_length_b 7.427
_cell_length_c 7.427
_cell_angle_alpha 90.00
_cell_angle_beta 90.00
_cell_angle_gamma 90.00
loop_
_atom_site_label
_atom_site_fract_x
_atom_site_fract_y
_atom_site_fract_z
Lu1 0.000 0.000 0.000
Re1 0.125 0.125 0.375
Mo1 0.250 0.250 0.750
```

***

(7)
Below is a relaxed LuTcMoRu crystal, with properties calculated at the PBE level.

## Properties
The value obtained for the formation energy from the elements is -0.13 eV per atom. The density of states at the Fermi level is 6.2 states/eV per cell. Its calculated total energy is -8.878 eV per atom. As for the volume: 16.504 Å³/atom.

Structure (CIF):
```
data_LuTcMoRu
_chemical_formula_sum 'Lu4 Tc4 Mo4 Ru4'
_symmetry_space_group_name_H-M 'F -4 3 m'
_symmetry_Int_Tables_number 216
_symmetry_space_group_name_Hall 'F -4 2 3'
_cell_length_a 6.416
_cell_length_b 6.416
_cell_length_c 6.416
_cell_angle_alpha 90.00
_cell_angle_beta 90.00
_cell_angle_gamma 90.00
loop_
_atom_site_label
_atom_site_fract_x
_atom_site_fract_y
_atom_site_fract_z
Lu1 0.000 0.000 0.000
Tc1 0.250 0.250 0.750
Mo1 0.000 0.000 0.500
Ru1 0.250 0.250 0.250
```

***

(8)
Below is a relaxed LuZrScMo crystal, with properties calculated at the PBE level.

## Properties
The value obtained for the formation energy from the elements is 0.15 eV per atom. The density of states at the Fermi level is 22.8 states/eV per cell. Its calculated total energy is -7.404 eV per atom. As for the volume: 21.517 Å³/atom.

Structure (CIF):
```
data_LuZrScMo
_chemical_formula_sum 'Lu4 Zr4 Sc4 Mo4'
_symmetry_space_group_name_H-M 'F -4 3 m'
_symmetry_Int_Tables_number 216
_symmetry_space_group_name_Hall 'F -4 2 3'
_cell_length_a 7.009
_cell_length_b 7.009
_cell_length_c 7.009
_cell_angle_alpha 90.00
_cell_angle_beta 90.00
_cell_angle_gamma 90.00
loop_
_atom_site_label
_atom_site_fract_x
_atom_site_fract_y
_atom_site_fract_z
Lu1 0.000 0.000 0.000
Zr1 0.000 0.000 0.500
Sc1 0.250 0.250 0.250
Mo1 0.250 0.250 0.750
```

***

(9)
Below is a relaxed Lu2Si4Mo3 crystal, with properties calculated at the PBE level.

## Properties
The density of states at the Fermi level is 12.9 states/eV per cell. Its raw formation energy is -68.24 kJ per mole of atoms. Its calculated total energy is -7.733 eV per atom. As for the volume: 16.417 Å³/atom.

Structure (CIF):
```
data_Lu2Si4Mo3
_chemical_formula_sum 'Lu8 Si16 Mo12'
_symmetry_space_group_name_H-M 'P n m a'
_symmetry_Int_Tables_number 62
_cell_length_a 6.677
_cell_length_b 12.834
_cell_length_c 6.897
_cell_angle_alpha 90.00
_cell_angle_beta 90.00
_cell_angle_gamma 90.00
loop_
_symmetry_equiv_pos_as_xyz
'x,y,z'
'-x,-y,-z'
'-x+1/2,-y,z+1/2'
'x+1/2,y,-z+1/2'
'x+1/2,-y+1/2,-z+1/2'
'-x+1/2,y+1/2,z+1/2'
'-x,y+1/2,-z'
'x,-y+1/2,z'
loop_
_atom_site_label
_atom_site_fract_x
_atom_site_fract_y
_atom_site_fract_z
Lu1 0.003 0.093 0.168
Si1 0.034 0.250 0.868
Si2 0.161 0.046 0.540
Si3 0.198 0.750 0.633
Mo1 0.166 0.250 0.496
Mo2 0.170 0.624 0.334
```

***

(10)
Below is a relaxed SmLuMo4 crystal, with properties calculated at the PBE level.

## Properties
The value obtained for the formation energy from the elements is 0.12 eV per atom. The density of states at the Fermi level is 31.0 states/eV per cell. Its calculated total energy is -8.646 eV per atom. As for the volume: 19.800 Å³/atom.

Structure (CIF):
```
data_SmLuMo4
_chemical_formula_sum 'Sm4 Lu4 Mo16'
_symmetry_space_group_name_H-M 'F -4 3 m'
_symmetry_Int_Tables_number 216
_symmetry_space_group_name_Hall 'F -4 2 3'
_cell_length_a 7.804
_cell_length_b 7.804
_cell_length_c 7.804
_cell_angle_alpha 90.00
_cell_angle_beta 90.00
_cell_angle_gamma 90.00
loop_
_atom_site_label
_atom_site_fract_x
_atom_site_fract_y
_atom_site_fract_z
Sm1 0.000 0.000 0.000
Lu1 0.250 0.250 0.250
Mo1 0.125 0.125 0.625
```

***

(11)
Below is a relaxed LuTaMo4 crystal, with properties calculated at the PBE level.

## Properties
The value obtained for the formation energy from the elements is 0.00 eV per atom. The density of states at the Fermi level is 18.8 states/eV per cell. Its calculated total energy is -9.947 eV per atom. As for the volume: 18.109 Å³/atom.

Structure (CIF):
```
data_LuTaMo4
_chemical_formula_sum 'Lu4 Ta4 Mo16'
_symmetry_space_group_name_H-M 'F -4 3 m'
_symmetry_Int_Tables_number 216
_symmetry_space_group_name_Hall 'F -4 2 3'
_cell_length_a 7.575
_cell_length_b 7.575
_cell_length_c 7.575
_cell_angle_alpha 90.00
_cell_angle_beta 90.00
_cell_angle_gamma 90.00
loop_
_atom_site_label
_atom_site_fract_x
_atom_site_fract_y
_atom_site_fract_z
Lu1 0.000 0.000 0.000
Ta1 0.250 0.250 0.750
Mo1 0.125 0.125 0.375
```

***

(12)
Below is a relaxed LuTcMo crystal, with properties calculated at the PBE level.

## Properties
The value obtained for the formation energy from the elements is -0.07 eV per atom. The density of states at the Fermi level is 3.8 states/eV per cell. Its calculated total energy is -8.639 eV per atom. As for the volume: 18.102 Å³/atom.

Structure (CIF):
```
data_LuTcMo
_chemical_formula_sum 'Lu2 Tc2 Mo2'
_symmetry_space_group_name_H-M 'I 4 m m'
_symmetry_Int_Tables_number 107
_symmetry_space_group_name_Hall 'I 4 -2'
_cell_length_a 3.207
_cell_length_b 3.207
_cell_length_c 10.563
_cell_angle_alpha 90.00
_cell_angle_beta 90.00
_cell_angle_gamma 90.00
loop_
_atom_site_label
_atom_site_fract_x
_atom_site_fract_y
_atom_site_fract_z
Lu1 0.000 0.000 0.000
Tc1 0.000 0.000 0.682
Mo1 0.000 0.000 0.311
```